No. 1
Below is Ca4ZnCu after structural relaxation, with properties calculated at the GGA-PBE level.

The volume comes out at 29.41 Å³ per atom. Its mass density is 2.7 g/cm³. Its space-group type is No. 123. The formation energy is -111 meV per atom. The energy relative to the lowest polymorph listed for this composition comes out at 0.000 eV per atom. The value obtained for the spin magnetization is 0.0 μB/cell.

a b c (Å): 3.688 3.688 12.972
angles (deg): 90.00 90.00 90.00
Fractional positions:
Ca 0.000 0.000 0.131
Ca 0.000 0.000 0.869
Ca 0.500 0.500 0.361
Ca 0.500 0.500 0.639
Zn 0.000 0.000 0.500
Cu 0.500 0.500 0.000

No. 2
Below is Pr2GdMg after structural relaxation, with properties calculated at the GGA-PBE level.

The volume comes out at 32.01 Å³ per atom. Its mass density is 6.0 g/cm³. Its space-group type is No. 225. The formation energy is 18 meV per atom. The energy relative to the lowest polymorph listed for this composition comes out at 0.055 eV per atom. The value obtained for the spin magnetization is 30.2 μB/cell.

a b c (Å): 8.001 8.001 8.001
angles (deg): 90.00 90.00 90.00
Fractional positions:
Pr 0.250 0.250 0.250
Pr 0.250 0.250 0.750
Pr 0.250 0.750 0.250
Pr 0.250 0.750 0.750
Pr 0.750 0.250 0.250
Pr 0.750 0.250 0.750
Pr 0.750 0.750 0.250
Pr 0.750 0.750 0.750
Gd 0.000 0.000 0.000
Gd 0.000 0.500 0.500
Gd 0.500 0.000 0.500
Gd 0.500 0.500 0.000
Mg 0.000 0.000 0.500
Mg 0.000 0.500 0.000
Mg 0.500 0.000 0.000
Mg 0.500 0.500 0.500

No. 3
Below is POs3Ru after structural relaxation, with properties calculated at the GGA-PBE level.

The volume comes out at 20.07 Å³ per atom. Its mass density is 11.6 g/cm³. Its space-group type is No. 221. The formation energy is 2563 meV per atom. The energy relative to the lowest polymorph listed for this composition comes out at 1.398 eV per atom. The value obtained for the spin magnetization is 0.0 μB/cell.

a b c (Å): 4.647 4.647 4.647
angles (deg): 90.00 90.00 90.00
Fractional positions:
P 0.000 0.000 0.000
Os 0.000 0.500 0.500
Os 0.500 0.000 0.500
Os 0.500 0.500 0.000
Ru 0.500 0.500 0.500

No. 4
Below is CaVBSe after structural relaxation, with properties calculated at the GGA-PBE level.

The volume comes out at 19.94 Å³ per atom. Its mass density is 3.8 g/cm³. Its space-group type is No. 25. The energy relative to the lowest polymorph listed for this composition comes out at 0.265 eV per atom. The value obtained for the spin magnetization is 0.3 μB/cell.

a b c (Å): 3.625 4.953 4.442
angles (deg): 90.00 90.00 90.00
Fractional positions:
Ca 0.000 0.000 0.000
V 0.500 0.500 0.370
B 0.000 0.500 0.155
Se 0.500 0.000 0.503

No. 5
Below is Ni8P2S after structural relaxation, with properties calculated at the GGA-PBE level.

The volume comes out at 11.20 Å³ per atom. Its mass density is 7.6 g/cm³. Its space-group type is No. 12. As for the final energy: -0.433 Ry/atom. The value obtained for the spin magnetization is 0.0 μB/cell.

a b c (Å): 6.986 6.986 5.377
angles (deg): 108.32 108.32 29.77
Fractional positions:
Ni 0.033 0.033 0.281
Ni 0.208 0.208 0.817
Ni 0.329 0.329 0.538
Ni 0.409 0.409 0.048
Ni 0.591 0.591 0.952
Ni 0.671 0.671 0.462
Ni 0.792 0.792 0.183
Ni 0.967 0.967 0.719
P 0.181 0.181 0.192
P 0.819 0.819 0.808
S 0.500 0.500 0.500

No. 6
Below is La3IrPb after structural relaxation, with properties calculated at the GGA-PBE level.

The volume comes out at 31.14 Å³ per atom. Its mass density is 8.7 g/cm³. Its space-group type is No. 63. The formation energy is -297 meV per atom. The energy relative to the lowest polymorph listed for this composition comes out at 0.390 eV per atom. The value obtained for the spin magnetization is 0.0 μB/cell.

a b c (Å): 7.958 7.958 6.223
angles (deg): 90.00 90.00 127.79
Fractional positions:
La 0.000 0.000 0.000
La 0.000 0.000 0.500
La 0.066 0.432 0.250
La 0.432 0.066 0.750
La 0.568 0.934 0.250
La 0.934 0.568 0.750
Ir 0.178 0.822 0.250
Ir 0.822 0.178 0.750
Pb 0.450 0.550 0.750
Pb 0.550 0.450 0.250

No. 7
Below is RbLa3F10 after structural relaxation, with properties calculated at the GGA-PBE level.

The volume comes out at 17.11 Å³ per atom. Its mass density is 4.8 g/cm³. Its space-group type is No. 225. As for the final energy: -0.474 Ry/atom. The value obtained for the spin magnetization is 0.4 μB/cell.

a b c (Å): 8.783 8.783 8.783
angles (deg): 60.00 60.00 60.00
Fractional positions:
Rb 0.250 0.250 0.250
Rb 0.750 0.750 0.750
La 0.240 0.240 0.760
La 0.240 0.760 0.240
La 0.240 0.760 0.760
La 0.760 0.240 0.240
La 0.760 0.240 0.760
La 0.760 0.760 0.240
F 0.112 0.112 0.112
F 0.112 0.112 0.665
F 0.112 0.665 0.112
F 0.171 0.500 0.500
F 0.171 0.500 0.829
F 0.171 0.829 0.500
F 0.335 0.888 0.888
F 0.500 0.171 0.500
F 0.500 0.171 0.829
F 0.500 0.500 0.171
F 0.500 0.500 0.829
F 0.500 0.829 0.171
F 0.500 0.829 0.500
F 0.665 0.112 0.112
F 0.829 0.171 0.500
F 0.829 0.500 0.171
F 0.829 0.500 0.500
F 0.888 0.335 0.888
F 0.888 0.888 0.335
F 0.888 0.888 0.888

No. 8
Below is EuLuNiPt after structural relaxation, with properties calculated at the GGA-PBE level.

The volume comes out at 20.57 Å³ per atom. Its mass density is 11.7 g/cm³. Its space-group type is No. 216. The formation energy is -635 meV per atom. The value obtained for the spin magnetization is 27.8 μB/cell.

a b c (Å): 6.904 6.904 6.904
angles (deg): 90.00 90.00 90.00
Fractional positions:
Eu 0.000 0.000 0.000
Eu 0.000 0.500 0.500
Eu 0.500 0.000 0.500
Eu 0.500 0.500 0.000
Lu 0.000 0.000 0.500
Lu 0.000 0.500 0.000
Lu 0.500 0.000 0.000
Lu 0.500 0.500 0.500
Ni 0.250 0.250 0.250
Ni 0.250 0.750 0.750
Ni 0.750 0.250 0.750
Ni 0.750 0.750 0.250
Pt 0.250 0.250 0.750
Pt 0.250 0.750 0.250
Pt 0.750 0.250 0.250
Pt 0.750 0.750 0.750

No. 9
Below is Sc2WBr after structural relaxation, with properties calculated at the GGA-PBE level.

The volume comes out at 20.62 Å³ per atom. Its mass density is 7.1 g/cm³. Its space-group type is No. 166. The energy relative to the lowest polymorph listed for this composition comes out at 0.565 eV per atom. The value obtained for the spin magnetization is 0.0 μB/cell.

a b c (Å): 3.116 3.116 29.434
angles (deg): 90.00 90.00 120.00
Fractional positions:
Sc 0.000 0.000 0.090
Sc 0.000 0.000 0.910
Sc 0.333 0.667 0.576
Sc 0.333 0.667 0.757
Sc 0.667 0.333 0.243
Sc 0.667 0.333 0.424
W 0.000 0.000 0.000
W 0.333 0.667 0.667
W 0.667 0.333 0.333
Br 0.000 0.000 0.500
Br 0.333 0.667 0.167
Br 0.667 0.333 0.833

No. 10
Below is YAuN2 after structural relaxation, with properties calculated at the GGA-PBE level.

The volume comes out at 17.68 Å³ per atom. Its mass density is 7.4 g/cm³. Its space-group type is No. 166. The energy relative to the lowest polymorph listed for this composition comes out at 0.000 eV per atom. The value obtained for the spin magnetization is 0.0 μB/cell.

a b c (Å): 3.705 3.705 17.842
angles (deg): 90.00 90.00 120.00
Fractional positions:
Y 0.000 0.000 0.000
Y 0.333 0.667 0.667
Y 0.667 0.333 0.333
Au 0.000 0.000 0.500
Au 0.333 0.667 0.167
Au 0.667 0.333 0.833
N 0.000 0.000 0.392
N 0.000 0.000 0.608
N 0.333 0.667 0.058
N 0.333 0.667 0.275
N 0.667 0.333 0.725
N 0.667 0.333 0.942

No. 11
Below is LaTcB2 after structural relaxation, with properties calculated at the GGA-PBE level.

The volume comes out at 14.71 Å³ per atom. Its mass density is 7.3 g/cm³. Its space-group type is No. 225. The formation energy is 743 meV per atom. The energy relative to the lowest polymorph listed for this composition comes out at 1.117 eV per atom. The value obtained for the spin magnetization is 5.0 μB/cell.

a b c (Å): 6.174 6.174 6.174
angles (deg): 90.00 90.00 90.00
Fractional positions:
La 0.000 0.000 0.000
La 0.000 0.500 0.500
La 0.500 0.000 0.500
La 0.500 0.500 0.000
Tc 0.000 0.000 0.500
Tc 0.000 0.500 0.000
Tc 0.500 0.000 0.000
Tc 0.500 0.500 0.500
B 0.250 0.250 0.250
B 0.250 0.250 0.750
B 0.250 0.750 0.250
B 0.250 0.750 0.750
B 0.750 0.250 0.250
B 0.750 0.250 0.750
B 0.750 0.750 0.250
B 0.750 0.750 0.750

No. 12
Below is NdZn2Au after structural relaxation, with properties calculated at the GGA-PBE level.

The volume comes out at 20.65 Å³ per atom. Its mass density is 9.5 g/cm³. Its space-group type is No. 62. The formation energy is -468 meV per atom. The value obtained for the spin magnetization is 0.0 μB/cell.

a b c (Å): 8.682 6.914 5.503
angles (deg): 90.00 90.00 90.00
Fractional positions:
Nd 0.058 0.250 0.144
Nd 0.442 0.750 0.644
Nd 0.558 0.250 0.356
Nd 0.942 0.750 0.856
Zn 0.184 0.055 0.627
Zn 0.184 0.445 0.627
Zn 0.316 0.555 0.127
Zn 0.316 0.945 0.127
Zn 0.684 0.055 0.873
Zn 0.684 0.445 0.873
Zn 0.816 0.555 0.373
Zn 0.816 0.945 0.373
Au 0.095 0.750 0.355
Au 0.405 0.250 0.855
Au 0.595 0.750 0.145
Au 0.905 0.250 0.645

Copy entry 2 word for word.
Below is Pr2GdMg after structural relaxation, with properties calculated at the GGA-PBE level.

The volume comes out at 32.01 Å³ per atom. Its mass density is 6.0 g/cm³. Its space-group type is No. 225. The formation energy is 18 meV per atom. The energy relative to the lowest polymorph listed for this composition comes out at 0.055 eV per atom. The value obtained for the spin magnetization is 30.2 μB/cell.

a b c (Å): 8.001 8.001 8.001
angles (deg): 90.00 90.00 90.00
Fractional positions:
Pr 0.250 0.250 0.250
Pr 0.250 0.250 0.750
Pr 0.250 0.750 0.250
Pr 0.250 0.750 0.750
Pr 0.750 0.250 0.250
Pr 0.750 0.250 0.750
Pr 0.750 0.750 0.250
Pr 0.750 0.750 0.750
Gd 0.000 0.000 0.000
Gd 0.000 0.500 0.500
Gd 0.500 0.000 0.500
Gd 0.500 0.500 0.000
Mg 0.000 0.000 0.500
Mg 0.000 0.500 0.000
Mg 0.500 0.000 0.000
Mg 0.500 0.500 0.500

Look up the mass density of the eleventh one.
7.3 g/cm³

The highest spin magnetization belongs to which entry?
Pr2GdMg

mass density of number 5 (Ni8P2S)?
7.6 g/cm³